a) First-principles (GGA-PBEsol) data for a geometry-optimized Ca2SiO4 structure, as listed in Alexandria via LeMat-Bulk.

Geometry as extended XYZ:
```
28
Lattice="5.533 0.000 0.000 0.000 5.995 0.000 -1.131 0.000 11.979" Properties=species:S:1:pos:R:3 pbc="T T T"
Ca 1.325 0.935 0.108
Ca 0.760 2.063 6.097
Ca 1.207 3.538 2.354
Ca 0.641 5.455 8.344
Ca 3.760 0.540 3.635
Ca 3.195 2.457 9.624
Ca 3.642 3.933 5.882
Ca 3.076 5.060 11.871
Si 0.404 4.124 10.938
Si 0.969 4.869 4.949
Si 3.432 1.127 7.030
Si 3.998 1.871 1.041
O -0.009 3.627 4.438
O -0.574 5.366 10.427
O 0.198 0.289 4.802
O -0.367 2.708 10.791
O 1.416 4.385 6.471
O 1.981 4.609 0.481
O 1.787 4.208 10.026
O 2.352 4.785 4.036
O 2.049 1.210 7.942
O 2.615 1.788 1.953
O 2.420 1.387 11.497
O 2.986 1.611 5.508
O 4.769 3.287 1.188
O 4.203 5.706 7.177
O 4.976 0.630 1.552
O 4.410 2.368 7.541
```

Summary:
Crystal system: monoclinic
Magnetization, μB/atom: 0.00
N(E_F), states/eV per cell: 0.0



b) First-principles (GGA-PBEsol) data for a geometry-optimized Ca2SiO4 structure, as listed in Alexandria via LeMat-Bulk.

Geometry as extended XYZ:
```
84
Lattice="20.244 0.000 0.000 0.000 9.218 0.000 0.000 0.000 5.514" Properties=species:S:1:pos:R:3 pbc="T T T"
Ca 0.063 1.839 0.045
Ca 1.145 5.159 0.000
Ca 2.236 0.696 2.650
Ca 3.319 6.488 2.469
Ca 3.443 2.679 5.346
Ca 4.442 8.528 5.223
Ca 5.680 3.919 2.466
Ca 6.679 7.288 2.589
Ca 6.803 1.879 5.226
Ca 7.886 5.305 5.407
Ca 8.977 0.550 2.757
Ca 10.059 6.448 2.802
Ca 10.185 2.770 0.045
Ca 11.267 8.668 0.000
Ca 12.358 3.913 2.650
Ca 13.441 7.339 2.469
Ca 13.565 1.930 5.346
Ca 14.564 5.299 5.223
Ca 15.802 0.690 2.466
Ca 16.801 6.539 2.589
Ca 16.925 2.730 5.226
Ca 18.008 8.522 5.407
Ca 19.099 4.059 2.757
Ca 20.181 7.379 2.802
Si 1.456 8.387 5.366
Si 1.941 3.784 2.777
Si 4.892 5.339 5.253
Si 5.230 0.730 2.496
Si 8.181 8.393 0.020
Si 8.666 3.778 2.609
Si 11.578 5.440 5.366
Si 12.063 0.825 2.777
Si 15.014 8.488 5.253
Si 15.352 3.879 2.496
Si 18.303 5.434 0.020
Si 18.788 0.831 2.609
O 0.068 0.453 2.182
O 1.008 5.136 3.023
O 1.568 2.699 3.952
O 1.550 3.133 1.326
O 1.554 7.234 1.014
O 2.185 7.866 3.967
O 2.307 0.508 0.306
O 3.344 5.061 0.135
O 3.505 4.194 2.878
O 4.459 1.228 3.872
O 4.452 8.553 2.063
O 5.053 1.886 1.345
O 5.069 6.495 4.103
O 5.670 3.944 4.820
O 5.663 5.837 1.115
O 6.617 8.803 0.121
O 6.778 0.452 2.892
O 7.816 5.117 3.063
O 7.937 3.257 1.210
O 8.568 2.625 3.771
O 8.554 7.308 1.195
O 8.572 7.742 4.084
O 9.114 0.527 0.266
O 10.054 5.062 4.939
O 10.190 4.156 2.182
O 11.130 8.691 3.023
O 11.672 1.476 1.326
O 11.690 1.910 3.952
O 11.676 6.593 1.014
O 12.307 5.961 3.967
O 12.429 4.101 0.306
O 13.466 8.766 0.135
O 13.627 0.415 2.878
O 14.581 3.381 3.872
O 14.574 5.274 2.063
O 15.175 2.723 1.345
O 15.191 7.332 4.103
O 15.792 0.665 4.820
O 15.785 7.990 1.115
O 16.739 5.024 0.121
O 16.900 4.157 2.892
O 17.938 8.710 3.063
O 18.059 1.352 1.210
O 18.690 1.984 3.771
O 18.694 6.085 4.084
O 18.676 6.519 1.195
O 19.236 4.082 0.266
O 20.176 8.765 4.939
```

Summary:
Crystal system: orthorhombic
Magnetization, μB/atom: 0.00
N(E_F), states/eV per cell: 0.0



Stability check: which of them is least stable? a).



a) First-principles (GGA-PBEsol) data for a geometry-optimized Ca3SiO5 structure, as listed in Alexandria via LeMat-Bulk.

Geometry as extended XYZ:
```
27
Lattice="3.541 2.044 8.544 -3.541 2.044 8.544 0.000 -4.089 8.544" Properties=species:S:1:pos:R:3 pbc="T T T"
Ca -1.706 -0.985 8.544
Ca -1.692 -0.977 14.241
Ca 0.000 -1.848 11.189
Ca -1.601 0.924 11.189
Ca 1.706 -0.985 8.544
Ca 0.000 1.970 8.544
Ca 1.692 -0.977 14.241
Ca 0.000 1.954 14.241
Ca 1.601 0.924 11.189
Si 0.000 0.000 5.437
Si 0.000 0.000 19.904
Si 0.000 0.000 25.544
O -2.203 -1.272 10.825
O 0.000 -2.540 8.974
O -2.200 1.270 8.974
O 0.000 0.000 3.767
O 0.000 -2.545 14.565
O -2.204 1.272 14.565
O 0.000 0.000 9.733
O 0.000 0.000 12.775
O 0.000 0.000 16.060
O 2.203 -1.272 10.825
O 0.000 2.544 10.825
O 2.200 1.270 8.974
O 0.000 0.000 21.532
O 0.000 0.000 23.921
O 2.204 1.272 14.565
```

Summary:
Crystal system: trigonal
Magnetization, μB/atom: 0.00
N(E_F), states/eV per cell: 0.0



b) First-principles (GGA-PBEsol) data for a geometry-optimized Ca3SiO5 structure, as listed in Alexandria via LeMat-Bulk.

Geometry as extended XYZ:
```
27
Lattice="6.092 -3.534 0.000 6.092 3.534 0.000 -4.036 0.000 8.248" Properties=species:S:1:pos:R:3 pbc="T T T"
Ca 0.000 0.000 0.000
Ca -0.646 1.787 7.903
Ca 1.139 1.846 4.925
Ca 4.937 1.688 2.544
Ca -0.646 -1.787 7.903
Ca 1.139 -1.846 4.925
Ca 4.505 0.000 5.355
Ca 7.859 0.000 2.196
Ca 4.937 -1.688 2.544
Si -1.952 0.000 5.351
Si 2.100 0.000 2.568
Si 2.015 0.000 7.781
O 1.162 1.326 2.406
O -2.104 0.000 7.004
O 5.601 1.349 0.345
O 4.964 2.190 4.912
O 3.349 0.000 1.495
O 1.118 0.000 6.413
O 1.162 -1.326 2.406
O 2.677 0.000 4.097
O 3.672 0.000 7.626
O 6.016 0.000 3.587
O 5.601 -1.349 0.345
O 6.489 0.000 6.633
O 10.036 0.000 1.417
O 8.797 0.000 4.534
O 4.964 -2.190 4.912
```

Summary:
Crystal system: monoclinic
Magnetization, μB/atom: 0.00
N(E_F), states/eV per cell: 0.0



Stability check: which of them is least stable? a).



a) First-principles (GGA-PBEsol) data for a geometry-optimized Ca2Sn3O8 structure, as listed in Alexandria via LeMat-Bulk.

Geometry as extended XYZ:
```
13
Lattice="5.669 -3.177 0.000 5.669 3.177 0.000 -1.879 0.000 5.003" Properties=species:S:1:pos:R:3 pbc="T T T"
Ca 2.201 0.000 0.770
Ca 7.259 0.000 4.233
Sn 4.730 1.664 2.502
Sn 5.669 0.000 0.000
Sn 4.730 -1.664 2.502
O 0.409 0.000 2.204
O 4.226 1.402 0.510
O 5.233 1.402 4.493
O 3.406 0.000 2.930
O 6.054 0.000 2.074
O 4.226 -1.402 0.510
O 5.233 -1.402 4.493
O 9.051 0.000 2.799
```

Summary:
Crystal system: monoclinic
Magnetization, μB/atom: 0.00
N(E_F), states/eV per cell: 0.0



b) First-principles (GGA-PBEsol) data for a geometry-optimized Ca2Sn3O8 structure, as listed in Alexandria via LeMat-Bulk.

Geometry as extended XYZ:
```
26
Lattice="6.405 0.000 0.000 -3.203 5.547 0.000 0.000 0.000 10.402" Properties=species:S:1:pos:R:3 pbc="T T T"
Ca 0.000 3.698 0.000
Ca 0.000 3.698 3.978
Ca 3.203 1.849 5.201
Ca 3.203 1.849 9.179
Sn 0.000 1.823 6.939
Sn -1.624 4.636 6.939
Sn 1.578 0.911 1.738
Sn 1.624 4.636 6.939
Sn 4.827 0.911 1.738
Sn 3.203 3.725 1.738
O 0.000 0.000 0.640
O 0.000 0.000 5.841
O -1.375 2.905 5.786
O 0.000 1.798 2.713
O -1.645 4.648 2.713
O 1.558 0.899 7.914
O 0.000 3.698 8.077
O 1.375 2.905 5.786
O 0.000 5.286 5.786
O 3.203 0.262 0.585
O 1.828 2.643 0.585
O 3.203 1.849 2.876
O 1.645 4.648 2.713
O 4.848 0.899 7.914
O 3.203 3.749 7.914
O 4.577 2.643 0.585
```

Summary:
Crystal system: hexagonal
Magnetization, μB/atom: 0.00
N(E_F), states/eV per cell: 0.0



Stability check: which of them is least stable? b).



a) First-principles (GGA-PBEsol) data for a geometry-optimized SrCaO2 structure, as listed in Alexandria via LeMat-Bulk.

Geometry as extended XYZ:
```
4
Lattice="3.517 0.000 0.000 0.000 3.517 0.000 0.000 0.000 4.970" Properties=species:S:1:pos:R:3 pbc="T T T"
Sr 0.000 0.000 0.000
Ca 1.759 1.759 2.485
O 0.000 0.000 2.485
O 1.759 1.759 0.000
```

Summary:
Crystal system: tetragonal
Magnetization, μB/atom: 0.00
N(E_F), states/eV per cell: 0.0



b) First-principles (GGA-PBEsol) data for a geometry-optimized SrCaO2 structure, as listed in Alexandria via LeMat-Bulk.

Geometry as extended XYZ:
```
4
Lattice="0.000 2.998 2.998 2.998 0.000 2.998 2.998 2.998 0.000" Properties=species:S:1:pos:R:3 pbc="T T T"
Sr 0.000 0.000 0.000
Ca 2.998 2.998 2.998
O 1.499 1.499 1.499
O 4.497 4.497 4.497
```

Summary:
Crystal system: cubic
Magnetization, μB/atom: 0.00
N(E_F), states/eV per cell: 0.0



c) First-principles (GGA-PBEsol) data for a geometry-optimized SrCaO2 structure, as listed in Alexandria via LeMat-Bulk.

Geometry as extended XYZ:
```
8
Lattice="-2.696 2.696 5.310 2.696 -2.696 5.310 2.696 2.696 -5.310" Properties=species:S:1:pos:R:3 pbc="T T T"
Sr 0.000 0.000 0.000
Sr 0.000 2.696 2.655
Ca 2.696 0.000 2.655
Ca 0.000 0.000 5.310
O 1.348 -1.225 3.982
O 1.471 1.348 1.327
O 1.348 3.922 -1.327
O 1.225 1.348 6.637
```

Summary:
Crystal system: tetragonal
Magnetization, μB/atom: 0.00
N(E_F), states/eV per cell: 0.0



Stability check: which of them is least stable? b).